# 1
The following is a DFT calculation (PBE) of a relaxed PuRuPt crystal.

Output
Polymorph energy (0 for the lowest one): 421 meV/atom
Crystal system: cubic
D(E_F): 1.5526 states/eV/atom
Formation energy from the elements: -71 meV per atom

abc: 6.299 6.299 6.299
angles: 90.00 90.00 90.00
Space group P2_13 (No. 198)
One atom of each set of equivalent atoms:
Pu 0.019 0.481 0.519
Ru 0.238 0.762 0.262
Pt 0.003 0.503 0.997

=====

# 2
The following is a DFT calculation (PBE) of a relaxed La2Pm5NdSm crystal.

Output
Crystal system: tetragonal
D(E_F): 1.7613 states/eV/atom
Formation energy from the elements: 237 meV per atom

abc: 8.827 8.827 8.211
angles: 90.00 90.00 90.00
Space group P4/mbm (No. 127)
One atom of each set of equivalent atoms:
La 0.119 0.381 0.000
Pm 0.000 0.000 0.000
Pm 0.216 0.716 0.280
Nd 0.000 0.000 0.500
Sm 0.000 0.500 0.500

=====

# 3
The following is a DFT calculation (PBE) of a relaxed Si2Ir2S crystal.

Output
Polymorph energy (0 for the lowest one): 54 meV/atom
Crystal system: tetragonal
D(E_F): 0.2360 states/eV/atom
Raw formation energy: -214 meV/atom

abc: 7.225 7.225 2.766
angles: 90.00 90.00 90.00
Space group P4/mbm (No. 127)
One atom of each set of equivalent atoms:
Si 0.148 0.352 0.000
Ir 0.145 0.645 0.500
S 0.000 0.000 0.500

=====

# 4
The following is a DFT calculation (PBE) of a relaxed NaYTa2Tl crystal.

Output
Crystal system: tetragonal
D(E_F): 1.1482 states/eV/atom
Formation energy from the elements: 1657 meV per atom

abc: 4.843 4.843 5.130
angles: 90.00 90.00 90.00
Space group P4/mmm (No. 123)
One atom of each set of equivalent atoms:
Na 0.000 0.000 0.000
Y 0.500 0.500 0.500
Ta 0.000 0.500 0.000
Tl 0.000 0.000 0.500

=====

# 5
The following is a DFT calculation (PBE) of a relaxed Tl2CuSnP crystal.

Output
Crystal system: tetragonal
D(E_F): 0.3393 states/eV/atom
Formation energy from the elements: 295 meV per atom

abc: 5.560 5.560 4.280
angles: 90.00 90.00 90.00
Space group P4/mmm (No. 123)
One atom of each set of equivalent atoms:
Tl 0.000 0.500 0.000
Cu 0.000 0.000 0.000
Sn 0.500 0.500 0.500
P 0.000 0.000 0.500

=====

# 6
The following is a DFT calculation (PBE) of a relaxed HfSnB2Pt crystal.

Output
Crystal system: tetragonal
D(E_F): 0.6349 states/eV/atom
Formation energy from the elements: 1169 meV per atom

abc: 4.480 4.480 5.090
angles: 90.00 90.00 90.00
Space group P4/mmm (No. 123)
One atom of each set of equivalent atoms:
Hf 0.000 0.000 0.000
Sn 0.500 0.500 0.500
B 0.000 0.500 0.000
Pt 0.000 0.000 0.500

=====

Number 1: E_tot -9.95 eV/atom, calculated volume 250.0 Å³/cell. Number 2: E_tot -4.55 eV/atom, calculated volume 639.8 Å³/cell. Number 3: E_tot -6.75 eV/atom, calculated volume 144.4 Å³/cell. Number 4: E_tot -5.11 eV/atom, calculated volume 120.3 Å³/cell. Number 5: E_tot -3.35 eV/atom, calculated volume 132.3 Å³/cell. Number 6: E_tot -5.50 eV/atom, calculated volume 102.2 Å³/cell.